## Er5AgPb4 (PBE)

Data for crystalline Er5AgPb4 at its relaxed geometry.

Values from the calculation:
Its magnetic moment is 0.00 μB/cell. The formation energy comes out at -0.260 eV per atom. Its space group is I4 (79). For the density, the calculation gives 10.05 g/cm³. The calculation puts the volume at 29.30 A^3/atom.

Cell lengths 7.5284, 7.5284, 7.5284 Å; angles 99.90, 99.90, 131.00 degrees
With the nearest neighbours (Å) after each atom.
Fractional coordinates of all 10 atoms:
Er 0.0000 0.0000 0.0000  4 Pb 3.11, 2 Ag 3.11-3.13
Er 0.0452 0.4380 0.7935  5 Pb 3.09-3.15, 1 Ag 3.19
Er 0.2516 0.0452 0.6072  5 Pb 3.09-3.15, 1 Ag 3.19
Er 0.4380 0.6445 0.3928  5 Pb 3.09-3.15, 1 Ag 3.19
Er 0.6445 0.2516 0.2065  5 Pb 3.09-3.15, 1 Ag 3.19
Ag 0.4981 0.4981 0.0000  6 Er 3.11-3.19
Pb 0.1278 0.7421 0.1898  6 Er 3.09-3.15
Pb 0.5523 0.9380 0.8102  6 Er 3.09-3.15
Pb 0.7421 0.5523 0.6143  6 Er 3.09-3.15
Pb 0.9380 0.1278 0.3857  6 Er 3.09-3.15

---

## LiDy2V (PBE)

Data for crystalline LiDy2V at its relaxed geometry.

Values from the calculation:
Its magnetic moment is 9.06 μB/cell. The formation energy comes out at 0.658 eV per atom. Its space group is R-3m (166). For the density, the calculation gives 6.28 g/cm³. The calculation puts the volume at 25.30 A^3/atom. As for the energy above the most stable polymorph in this dataset: 0.449 eV/atom.

Cell lengths 3.2318, 3.2318, 33.5685 Å; angles 90.00, 90.00, 120.00 degrees
With the nearest neighbours (Å) after each atom.
Fractional coordinates of all 12 atoms:
Li 0.0000 0.0000 0.0000  6 Li 3.23, 6 Dy 3.37
Li 0.3333 0.6667 0.6667  6 Li 3.23, 6 Dy 3.37
Li 0.6667 0.3333 0.3333  6 Li 3.23, 6 Dy 3.37
Dy 0.0000 0.0000 0.4168  1 V 2.79
Dy 0.0000 0.0000 0.5832  1 V 2.79
Dy 0.3333 0.6667 0.0835  1 V 2.79
Dy 0.3333 0.6667 0.2499  1 V 2.79
Dy 0.6667 0.3333 0.7501  1 V 2.79
Dy 0.6667 0.3333 0.9165  1 V 2.79
V 0.0000 0.0000 0.5000  2 Dy 2.79
V 0.3333 0.6667 0.1667  2 Dy 2.79
V 0.6667 0.3333 0.8333  2 Dy 2.79

---

## Ac2Ni2Ag3 (PBE)

Data for crystalline Ac2Ni2Ag3 at its relaxed geometry.

Values from the calculation:
Its magnetic moment is 0.00 μB/cell. The formation energy comes out at -0.169 eV per atom. Its space group is Cmmm (65). For the density, the calculation gives 9.21 g/cm³. The calculation puts the volume at 23.05 A^3/atom. As for the energy above the most stable polymorph in this dataset: 0.043 eV/atom.

Cell lengths 4.0763, 20.1713, 3.9241 Å; angles 90.00, 90.00, 90.00 degrees
With the nearest neighbours (Å) after each atom.
Fractional coordinates of all 14 atoms:
Ac 0.0000 0.1624 0.0000  6 Ni 3.01-3.17, 1 Ag 3.28
Ac 0.0000 0.8376 0.0000  6 Ni 3.01-3.17, 1 Ag 3.28
Ac 0.5000 0.3376 0.0000  6 Ni 3.01-3.17, 1 Ag 3.28
Ac 0.5000 0.6624 0.0000  6 Ni 3.01-3.17, 1 Ag 3.28
Ni 0.0000 0.2860 0.5000  2 Ni 2.50
Ni 0.0000 0.7140 0.5000  2 Ni 2.50
Ni 0.5000 0.2140 0.5000  2 Ni 2.50
Ni 0.5000 0.7860 0.5000  2 Ni 2.50
Ag 0.0000 0.0000 0.0000  8 Ag 3.15, 2 Ac 3.28
Ag 0.0000 0.4316 0.5000  1 Ag 2.76, 1 Ni 2.94
Ag 0.0000 0.5684 0.5000  1 Ag 2.76, 1 Ni 2.94
Ag 0.5000 0.0684 0.5000  1 Ag 2.76, 1 Ni 2.94
Ag 0.5000 0.5000 0.0000  8 Ag 3.15, 2 Ac 3.28
Ag 0.5000 0.9316 0.5000  1 Ag 2.76, 1 Ni 2.94

---

## LaAgPb (PBE)

Data for crystalline LaAgPb at its relaxed geometry.

Values from the calculation:
Its magnetic moment is 0.00 μB/cell. The formation energy comes out at -0.346 eV per atom. Its space group is P2_1/m (11). For the density, the calculation gives 8.86 g/cm³. The calculation puts the volume at 28.37 A^3/atom.

Cell lengths 3.9013, 5.0357, 8.6655 Å; angles 90.00, 90.19, 90.00 degrees
With the nearest neighbours (Å) after each atom.
Fractional coordinates of all 6 atoms:
La 0.0276 0.2500 0.2266  6 Ag 3.23-3.52, 3 Pb 3.37-3.42
La 0.9724 0.7500 0.7734  6 Ag 3.23-3.52, 3 Pb 3.37-3.42
Ag 0.4917 0.7500 0.0757  2 Ag 2.84, 1 Pb 2.95
Ag 0.5083 0.2500 0.9243  2 Ag 2.84, 1 Pb 2.95
Pb 0.3743 0.2500 0.5895  1 Ag 2.95, 2 Pb 3.12
Pb 0.6257 0.7500 0.4105  1 Ag 2.95, 2 Pb 3.12

---

## CeHoLu4 (PBE)

Data for crystalline CeHoLu4 at its relaxed geometry.

Values from the calculation:
Its magnetic moment is 6.05 μB/cell. The formation energy comes out at 0.337 eV per atom. Its space group is F-43m (216). For the density, the calculation gives 8.51 g/cm³. The calculation puts the volume at 32.70 A^3/atom.

Cell lengths 6.5223, 6.5223, 6.5223 Å; angles 60.00, 60.00, 60.00 degrees
With the nearest neighbours (Å) after each atom.
Fractional coordinates of all 6 atoms:
Ce 0.0000 0.0000 0.0000  12 Lu 3.82, 4 Ho 3.99
Ho 0.7500 0.7500 0.7500  12 Lu 3.82, 4 Ce 3.99
Lu 0.3748 0.3748 0.3748  6 Lu 3.26-3.27
Lu 0.3748 0.3748 0.8757  6 Lu 3.26-3.27
Lu 0.3748 0.8757 0.3748  6 Lu 3.26-3.27
Lu 0.8757 0.3748 0.3748  6 Lu 3.26-3.27

---

## Tb2SmAu (PBE)

Data for crystalline Tb2SmAu at its relaxed geometry.

Values from the calculation:
Its magnetic moment is 0.00 μB/cell. The formation energy comes out at -0.275 eV per atom. Its space group is R-3m (166). For the density, the calculation gives 9.22 g/cm³. The calculation puts the volume at 29.95 A^3/atom. As for the energy above the most stable polymorph in this dataset: 0.152 eV/atom.

Cell lengths 3.6986, 3.6986, 30.3392 Å; angles 90.00, 90.00, 120.00 degrees
With the nearest neighbours (Å) after each atom.
Fractional coordinates of all 12 atoms:
Tb 0.0000 0.0000 0.2362  3 Au 3.00
Tb 0.0000 0.0000 0.7638  3 Au 3.00
Tb 0.3333 0.6667 0.4305  3 Au 3.00
Tb 0.3333 0.6667 0.9029  3 Au 3.00
Tb 0.6667 0.3333 0.0971  3 Au 3.00
Tb 0.6667 0.3333 0.5695  3 Au 3.00
Sm 0.0000 0.0000 0.0000  6 Tb 3.64, 6 Sm 3.70
Sm 0.3333 0.6667 0.6667  6 Tb 3.64, 6 Sm 3.70
Sm 0.6667 0.3333 0.3333  6 Tb 3.64, 6 Sm 3.70
Au 0.0000 0.0000 0.5000  6 Tb 3.00
Au 0.3333 0.6667 0.1667  6 Tb 3.00
Au 0.6667 0.3333 0.8333  6 Tb 3.00

---

## TmAgSn3 (PBE)

Data for crystalline TmAgSn3 at its relaxed geometry.

Values from the calculation:
Its magnetic moment is 0.00 μB/cell. The formation energy comes out at -0.301 eV per atom. Its space group is Pbcm (57). For the density, the calculation gives 8.62 g/cm³. The calculation puts the volume at 24.40 A^3/atom.

Cell lengths 12.7191, 6.2110, 6.1763 Å; angles 90.00, 90.00, 90.00 degrees
With the nearest neighbours (Å) after each atom.
Fractional coordinates of all 20 atoms:
Tm 0.1904 0.0095 0.2500  9 Sn 3.13-3.28, 2 Ag 3.28
Tm 0.1904 0.4905 0.7500  9 Sn 3.13-3.28, 2 Ag 3.28
Tm 0.8096 0.5095 0.2500  9 Sn 3.13-3.28, 2 Ag 3.28
Tm 0.8096 0.9905 0.7500  9 Sn 3.13-3.28, 2 Ag 3.28
Ag 0.3856 0.2500 0.0000  6 Sn 2.94-2.98, 2 Ag 3.09, 2 Tm 3.28
Ag 0.3856 0.2500 0.5000  6 Sn 2.94-2.98, 2 Ag 3.09, 2 Tm 3.28
Ag 0.6144 0.7500 0.0000  6 Sn 2.94-2.98, 2 Ag 3.09, 2 Tm 3.28
Ag 0.6144 0.7500 0.5000  6 Sn 2.94-2.98, 2 Ag 3.09, 2 Tm 3.28
Sn 0.0012 0.7500 0.0000  4 Sn 3.09-3.11, 4 Tm 3.25-3.28
Sn 0.0012 0.7500 0.5000  4 Sn 3.09-3.11, 4 Tm 3.25-3.28
Sn 0.2350 0.5126 0.2500  2 Ag 2.95, 4 Tm 3.14-3.18, 1 Sn 3.18
Sn 0.2350 0.9874 0.7500  2 Ag 2.95, 4 Tm 3.14-3.18, 1 Sn 3.18
Sn 0.4236 0.6521 0.7500  4 Ag 2.94-2.98, 1 Tm 3.13, 1 Sn 3.18
Sn 0.4236 0.8479 0.2500  4 Ag 2.94-2.98, 1 Tm 3.13, 1 Sn 3.18
Sn 0.5764 0.1521 0.7500  4 Ag 2.94-2.98, 1 Tm 3.13, 1 Sn 3.18
Sn 0.5764 0.3479 0.2500  4 Ag 2.94-2.98, 1 Tm 3.13, 1 Sn 3.18
Sn 0.7650 0.0126 0.2500  2 Ag 2.95, 4 Tm 3.14-3.18, 1 Sn 3.18
Sn 0.7650 0.4874 0.7500  2 Ag 2.95, 4 Tm 3.14-3.18, 1 Sn 3.18
Sn 0.9988 0.2500 0.0000  4 Sn 3.09-3.11, 4 Tm 3.25-3.28
Sn 0.9988 0.2500 0.5000  4 Sn 3.09-3.11, 4 Tm 3.25-3.28

---

## NaSrH2Pd (PBE)

Data for crystalline NaSrH2Pd at its relaxed geometry.

Values from the calculation:
Its magnetic moment is 0.00 μB/cell. Its space group is P4/mmm (123). For the density, the calculation gives 4.12 g/cm³. The calculation puts the volume at 17.65 A^3/atom. Its total energy is -2.746 eV per atom.

Cell lengths 4.2503, 4.2503, 4.8857 Å; angles 90.00, 90.00, 90.00 degrees
With the nearest neighbours (Å) after each atom.
Fractional coordinates of all 5 atoms:
Na 0.0000 0.0000 0.0000  2 Pd 2.44
Sr 0.5000 0.5000 0.0000  4 Na 3.01, 8 H 3.24
H 0.0000 0.5000 0.5000  2 Pd 2.13
H 0.5000 0.0000 0.5000  2 Pd 2.13
Pd 0.0000 0.0000 0.5000  4 H 2.13

---

## ZnW (PBE)

Data for crystalline ZnW at its relaxed geometry.

Values from the calculation:
Its magnetic moment is 0.00 μB/cell. The formation energy comes out at 0.271 eV per atom. Its space group is P4/nmm (129). For the density, the calculation gives 13.49 g/cm³. The calculation puts the volume at 15.34 A^3/atom. As for the energy above the most stable polymorph in this dataset: 0.108 eV/atom.

Cell lengths 2.6900, 2.6900, 8.4800 Å; angles 90.00, 90.00, 90.00 degrees
With the nearest neighbours (Å) after each atom.
Fractional coordinates of all 4 atoms:
Zn 0.2500 0.2500 0.1181  8 Zn 2.69-2.76, 4 W 2.82
Zn 0.7500 0.7500 0.8819  8 Zn 2.69-2.76, 4 W 2.82
W 0.2500 0.2500 0.6361  8 W 2.69-2.99, 4 Zn 2.82
W 0.7500 0.7500 0.3639  8 W 2.69-2.99, 4 Zn 2.82

---

## ScAg2W (PBE)

Data for crystalline ScAg2W at its relaxed geometry.

Values from the calculation:
Its magnetic moment is 0.00 μB/cell. The formation energy comes out at 0.418 eV per atom. Its space group is Immm (71). For the density, the calculation gives 10.08 g/cm³. The calculation puts the volume at 18.31 A^3/atom. As for the energy above the most stable polymorph in this dataset: 0.220 eV/atom.

Cell lengths 2.9391, 4.8431, 10.2880 Å; angles 90.00, 90.00, 90.00 degrees
With the nearest neighbours (Å) after each atom.
Fractional coordinates of all 8 atoms:
Sc 0.0000 0.0000 0.0000  4 W 2.83, 2 Sc 2.94, 4 Ag 3.06
Sc 0.5000 0.5000 0.5000  4 W 2.83, 2 Sc 2.94, 4 Ag 3.06
Ag 0.0000 0.5000 0.2391  6 Ag 2.84-2.94, 2 W 2.87, 2 Sc 3.06
Ag 0.0000 0.5000 0.7609  6 Ag 2.84-2.94, 2 W 2.87, 2 Sc 3.06
Ag 0.5000 0.0000 0.2609  6 Ag 2.84-2.94, 2 W 2.87, 2 Sc 3.06
Ag 0.5000 0.0000 0.7391  6 Ag 2.84-2.94, 2 W 2.87, 2 Sc 3.06
W 0.0000 0.0000 0.5000  4 Sc 2.83, 4 Ag 2.87, 2 W 2.94
W 0.5000 0.5000 0.0000  4 Sc 2.83, 4 Ag 2.87, 2 W 2.94

---

## MoOsAu2 (PBE)

Data for crystalline MoOsAu2 at its relaxed geometry.

Values from the calculation:
Its magnetic moment is 1.14 μB/cell. The formation energy comes out at 0.501 eV per atom. Its space group is R-3m (166). For the density, the calculation gives 17.32 g/cm³. The calculation puts the volume at 16.30 A^3/atom. As for the energy above the most stable polymorph in this dataset: 0.331 eV/atom.

Cell lengths 2.8204, 2.8204, 28.3919 Å; angles 90.00, 90.00, 120.00 degrees
With the nearest neighbours (Å) after each atom.
Fractional coordinates of all 12 atoms:
Mo 0.0000 0.0000 0.0000  6 Mo 2.82, 6 Au 2.87
Mo 0.3333 0.6667 0.6667  6 Mo 2.82, 6 Au 2.87
Mo 0.6667 0.3333 0.3333  6 Mo 2.82, 6 Au 2.87
Os 0.0000 0.0000 0.5000  6 Os 2.82, 6 Au 2.88
Os 0.3333 0.6667 0.1667  6 Os 2.82, 6 Au 2.88
Os 0.6667 0.3333 0.8333  6 Os 2.82, 6 Au 2.88
Au 0.0000 0.0000 0.2502  6 Au 2.82, 3 Mo 2.87, 3 Os 2.88
Au 0.0000 0.0000 0.7498  6 Au 2.82, 3 Mo 2.87, 3 Os 2.88
Au 0.3333 0.6667 0.4165  6 Au 2.82, 3 Mo 2.87, 3 Os 2.88
Au 0.3333 0.6667 0.9169  6 Au 2.82, 3 Mo 2.87, 3 Os 2.88
Au 0.6667 0.3333 0.0831  6 Au 2.82, 3 Mo 2.87, 3 Os 2.88
Au 0.6667 0.3333 0.5835  6 Au 2.82, 3 Mo 2.87, 3 Os 2.88

---

## LiSmDyFe (PBE)

Data for crystalline LiSmDyFe at its relaxed geometry.

Values from the calculation:
Its magnetic moment is 0.00 μB/cell. The formation energy comes out at 0.118 eV per atom. Its space group is F-43m (216). For the density, the calculation gives 7.53 g/cm³. The calculation puts the volume at 20.70 A^3/atom.

Cell lengths 6.9190, 6.9190, 6.9190 Å; angles 90.00, 90.00, 90.00 degrees
With the nearest neighbours (Å) after each atom.
Fractional coordinates of all 16 atoms:
Li 0.0000 0.0000 0.0000  4 Dy 3.00, 4 Sm 3.00
Li 0.0000 0.5000 0.5000  4 Dy 3.00, 4 Sm 3.00
Li 0.5000 0.0000 0.5000  4 Dy 3.00, 4 Sm 3.00
Li 0.5000 0.5000 0.0000  4 Dy 3.00, 4 Sm 3.00
Sm 0.2500 0.2500 0.7500  4 Fe 3.00, 4 Li 3.00
Sm 0.2500 0.7500 0.2500  4 Fe 3.00, 4 Li 3.00
Sm 0.7500 0.2500 0.2500  4 Fe 3.00, 4 Li 3.00
Sm 0.7500 0.7500 0.7500  4 Fe 3.00, 4 Li 3.00
Dy 0.2500 0.2500 0.2500  4 Fe 3.00, 4 Li 3.00
Dy 0.2500 0.7500 0.7500  4 Fe 3.00, 4 Li 3.00
Dy 0.7500 0.2500 0.7500  4 Fe 3.00, 4 Li 3.00
Dy 0.7500 0.7500 0.2500  4 Fe 3.00, 4 Li 3.00
Fe 0.0000 0.0000 0.5000  4 Sm 3.00, 4 Dy 3.00
Fe 0.0000 0.5000 0.0000  4 Sm 3.00, 4 Dy 3.00
Fe 0.5000 0.0000 0.0000  4 Sm 3.00, 4 Dy 3.00
Fe 0.5000 0.5000 0.5000  4 Sm 3.00, 4 Dy 3.00